1 | A plane-wave DFT calculation with PBEsol was carried out for a relaxed BeTeMo crystal.

Structure (POSCAR):
```
BeTeMo
1.0
4.2732 0.0000 0.0000
2.1366 3.7007 0.0000
2.1366 1.2336 3.4891
Mo Te Be
1 1 1
Cartesian
4.2732 2.4671 1.7445
2.1366 1.2336 0.8723
0.0000 0.0000 0.0000
```

Output
Total magnetic moment ... 0.0 μB/f.u.
Space-group type ... No. 216

---

2 | A plane-wave DFT calculation with PBEsol was carried out for a relaxed BeTeMo crystal.

Structure (POSCAR):
```
BeTeMo
1.0
-0.9190 -1.7199 2.6683
2.0749 -2.4278 -0.8503
2.4062 3.8609 1.2706
Te Mo Be
1 1 1
Cartesian
1.9754 1.1829 1.4428
1.5307 -1.5033 1.6049
0.0560 0.0335 0.0409
```

Output
Total magnetic moment ... 0.0 μB/f.u.
Space-group type ... No. 107

---

Stability ranking, top and bottom: 2 is the most stable and 1 is the least stable.

---

1 | A plane-wave DFT calculation with PBEsol was carried out for a relaxed BeTl2Mo crystal.

Structure (POSCAR):
```
BeTl2Mo
1.0
-2.7253 -1.2622 -0.3781
0.9620 -0.6173 -4.8730
1.5370 -4.0634 2.4856
Be Tl Mo
1 2 1
Cartesian
-1.3627 -0.6311 -0.1891
0.7685 -2.0317 1.2428
0.4810 -0.3086 -2.4365
-0.1131 -2.9714 -1.3827
```

Output
Total magnetic moment ... 0.0 μB/f.u.
Space-group type ... No. 65

---

2 | A plane-wave DFT calculation with PBEsol was carried out for a relaxed BeTl2Mo crystal.

Structure (POSCAR):
```
BeTl2Mo
1.0
2.9299 0.0000 0.0000
0.0000 2.9299 0.0000
0.0000 0.0000 8.4861
Tl Mo Be
2 1 1
Cartesian
0.0000 0.0000 1.9975
0.0000 0.0000 6.4886
1.4650 1.4650 4.2430
1.4650 1.4650 0.0000
```

Output
Total magnetic moment ... 0.0 μB/f.u.
Space-group type ... No. 123

---

Stability ranking, top and bottom: 1 is the most stable and 2 is the least stable.

---

1 | A plane-wave DFT calculation with PBEsol was carried out for a relaxed Be2TlMo crystal.

Structure (POSCAR):
```
Be2TlMo
1.0
2.9451 0.0000 0.0000
0.0000 2.9451 0.0000
0.0000 0.0000 6.4113
Be Tl Mo
2 1 1
Cartesian
0.0000 0.0000 0.4453
1.4726 1.4726 1.4164
1.4726 1.4726 4.9564
0.0000 0.0000 2.7989
```

Output
Total magnetic moment ... 0.0 μB/f.u.
Space-group type ... No. 99

---

2 | A plane-wave DFT calculation with PBEsol was carried out for a relaxed Be2TlMo crystal.

Structure (POSCAR):
```
Be2TlMo
1.0
4.3442 0.0000 0.0000
2.1721 3.7621 0.0000
2.1721 1.2540 3.5470
Mo Tl Be
1 1 2
Cartesian
4.3442 2.5081 1.7735
2.1721 1.2540 0.8867
6.5162 3.7621 2.6602
0.0000 0.0000 0.0000
```

Output
Total magnetic moment ... 0.7 μB/f.u.
Space-group type ... No. 216

---

Stability ranking, top and bottom: 1 is the most stable and 2 is the least stable.

---

1 | A plane-wave DFT calculation with PBEsol was carried out for a relaxed Be2MoW2 crystal.

Structure (POSCAR):
```
Be2MoW2
1.0
-1.5115 -1.6813 2.2541
-4.1853 -1.8244 -4.1672
3.4827 -4.9279 -1.3404
Be Mo W
4 2 4
Cartesian
-2.1755 -1.7082 -2.7328
0.8374 -2.0981 -1.0034
1.4729 -5.0442 -2.7747
-1.5400 -4.6542 -4.5041
0.0000 0.0000 0.0000
-0.3513 -3.3762 -2.7538
-0.7188 -6.1331 -2.7958
-3.0757 -3.9374 -2.7384
-1.4952 -2.3005 -0.4577
0.8616 -4.4962 -0.5151
```

Output
Total magnetic moment ... 0.0 μB/f.u.
Space-group type ... No. 127

---

2 | A plane-wave DFT calculation with PBEsol was carried out for a relaxed Be2MoW2 crystal.

Structure (POSCAR):
```
Be2MoW2
1.0
-1.1579 -1.5821 -2.9914
2.7093 -2.3278 0.1825
-3.6820 -1.2082 4.2023
Be Mo W
2 1 2
Cartesian
-2.3765 -2.5866 2.2878
0.2459 -2.5316 -0.8944
0.0000 0.0000 0.0000
-2.0321 -2.3726 -0.0968
-0.0985 -2.7455 1.4901
```

Output
Total magnetic moment ... 0.0 μB/f.u.
Space-group type ... No. 139

---

Stability ranking, top and bottom: 1 is the most stable and 2 is the least stable.